# 1
{
  "formula": "Na2ZnHgO",
  "functional": "PBE-GGA",
  "state": "relaxed",
  "lattice_angstrom": [[4.8838, 0.0000, 0.0000], [0.0000, 4.8838, 0.0000], [0.0000, 0.0000, 4.0411]],
  "species": ["Na", "Na", "Zn", "Hg", "O"],
  "fractional_positions": [[0.0000, 0.5000, 0.0000], [0.5000, 0.0000, 0.0000], [0.0000, 0.0000, 0.5000], [0.5000, 0.5000, 0.5000], [0.0000, 0.0000, 0.0000]],
  "dos_at_fermi_per_ev_atom": 0.3751,
  "vol_a3_per_atom": 19.3,
  "mass_density_g_cm3": 5.650,
  "final_energy_ev_per_atom": -2.45,
  "e_form_raw_ev_per_atom": -0.6161,
  "total_magnetization_mub_per_atom": 0.006
}

=====

# 2
{
  "formula": "Na3HgOs",
  "functional": "PBE-GGA",
  "state": "relaxed",
  "lattice_angstrom": [[5.6545, 0.0000, 0.0000], [0.0000, 5.6545, 0.0000], [0.0000, 0.0000, 5.6545]],
  "species": ["Na", "Na", "Na", "Hg", "Os"],
  "fractional_positions": [[0.0000, 0.0000, 0.5000], [0.0000, 0.5000, 0.0000], [0.5000, 0.0000, 0.0000], [0.5000, 0.5000, 0.5000], [0.0000, 0.0000, 0.0000]],
  "dos_at_fermi_per_ev_atom": 1.6528,
  "vol_a3_per_atom": 36.2,
  "mass_density_g_cm3": 4.223,
  "final_energy_ev_per_atom": -1.97,
  "total_magnetization_mub_per_atom": 0.295,
  "ef_ev_per_atom": 1.130
}

=====

# 3
{
  "formula": "NaHgOs3",
  "functional": "PBE-GGA",
  "state": "relaxed",
  "lattice_angstrom": [[5.0496, 0.0000, 0.0000], [0.0000, 5.0496, 0.0000], [0.0000, 0.0000, 5.0496]],
  "species": ["Na", "Hg", "Os", "Os", "Os"],
  "fractional_positions": [[0.0000, 0.0000, 0.0000], [0.5000, 0.5000, 0.5000], [0.0000, 0.5000, 0.5000], [0.5000, 0.0000, 0.5000], [0.5000, 0.5000, 0.0000]],
  "dos_at_fermi_per_ev_atom": 0.9357,
  "vol_a3_per_atom": 25.8,
  "mass_density_g_cm3": 10.244,
  "final_energy_ev_per_atom": -4.11,
  "total_magnetization_mub_per_atom": 1.311,
  "ef_ev_per_atom": 2.948,
  "relative_energy_mev_per_atom": 0
}

=====

# 4
{
  "formula": "NaHgOs3",
  "functional": "PBE-GGA",
  "state": "relaxed",
  "lattice_angstrom": [[4.5312, 0.0000, 0.0000], [0.0000, 4.5312, 0.0000], [0.0000, 0.0000, 4.5312]],
  "species": ["Na", "Hg", "Os", "Os", "Os"],
  "fractional_positions": [[0.0000, 0.0000, 0.0000], [0.5000, 0.5000, 0.5000], [0.0000, 0.0000, 0.5000], [0.0000, 0.5000, 0.0000], [0.5000, 0.0000, 0.0000]],
  "dos_at_fermi_per_ev_atom": 1.6052,
  "vol_a3_per_atom": 18.6,
  "mass_density_g_cm3": 14.177,
  "final_energy_ev_per_atom": -4.03,
  "total_magnetization_mub_per_atom": 0.744,
  "ef_ev_per_atom": 3.028,
  "relative_energy_mev_per_atom": 80
}

=====

# 5
{
  "formula": "NaHg2Os",
  "functional": "PBE-GGA",
  "state": "relaxed",
  "lattice_angstrom": [[4.6716, 0.0000, 0.0000], [0.0000, 4.6716, 0.0000], [0.0000, 0.0000, 18.2670]],
  "species": ["Na", "Na", "Na", "Na", "Hg", "Hg", "Hg", "Hg", "Hg", "Hg", "Hg", "Hg", "Os", "Os", "Os", "Os"],
  "fractional_positions": [[0.0000, 0.0000, 0.0000], [0.0000, 0.5000, 0.2500], [0.5000, 0.0000, 0.7500], [0.5000, 0.5000, 0.5000], [0.1924, 0.2500, 0.6250], [0.2500, 0.6924, 0.8750], [0.2500, 0.8076, 0.3750], [0.3076, 0.2500, 0.1250], [0.6924, 0.7500, 0.1250], [0.7500, 0.1924, 0.3750], [0.7500, 0.3076, 0.8750], [0.8076, 0.7500, 0.6250], [0.0000, 0.0000, 0.5000], [0.0000, 0.5000, 0.7500], [0.5000, 0.0000, 0.2500], [0.5000, 0.5000, 0.0000]],
  "dos_at_fermi_per_ev_atom": 0.6233,
  "vol_a3_per_atom": 24.9,
  "mass_density_g_cm3": 10.237,
  "final_energy_ev_per_atom": -2.34,
  "total_magnetization_mub_per_atom": 0.204,
  "ef_ev_per_atom": 0.945,
  "relative_energy_mev_per_atom": 299
}

=====

# 6
{
  "formula": "NaHg2Os",
  "functional": "PBE-GGA",
  "state": "relaxed",
  "lattice_angstrom": [[6.7408, 0.0000, 0.0000], [0.0000, 6.7408, 0.0000], [0.0000, 0.0000, 6.7408]],
  "species": ["Na", "Na", "Na", "Na", "Hg", "Hg", "Hg", "Hg", "Hg", "Hg", "Hg", "Hg", "Os", "Os", "Os", "Os"],
  "fractional_positions": [[0.0000, 0.0000, 0.0000], [0.0000, 0.5000, 0.5000], [0.5000, 0.0000, 0.5000], [0.5000, 0.5000, 0.0000], [0.2500, 0.2500, 0.2500], [0.2500, 0.2500, 0.7500], [0.2500, 0.7500, 0.2500], [0.2500, 0.7500, 0.7500], [0.7500, 0.2500, 0.2500], [0.7500, 0.2500, 0.7500], [0.7500, 0.7500, 0.2500], [0.7500, 0.7500, 0.7500], [0.0000, 0.0000, 0.5000], [0.0000, 0.5000, 0.0000], [0.5000, 0.0000, 0.0000], [0.5000, 0.5000, 0.5000]],
  "dos_at_fermi_per_ev_atom": 1.0645,
  "vol_a3_per_atom": 19.1,
  "mass_density_g_cm3": 13.324,
  "final_energy_ev_per_atom": -2.64,
  "total_magnetization_mub_per_atom": 0.001,
  "ef_ev_per_atom": 0.646,
  "relative_energy_mev_per_atom": 0
}

=====

# 7
{
  "formula": "NaHg2OsPd",
  "functional": "PBE-GGA",
  "state": "relaxed",
  "lattice_angstrom": [[4.9215, 0.0000, 0.0000], [0.0000, 4.9215, 0.0000], [0.0000, 0.0000, 4.9561]],
  "species": ["Na", "Hg", "Hg", "Os", "Pd"],
  "fractional_positions": [[0.0000, 0.0000, 0.0000], [0.0000, 0.5000, 0.0000], [0.5000, 0.0000, 0.0000], [0.0000, 0.0000, 0.5000], [0.5000, 0.5000, 0.5000]],
  "dos_at_fermi_per_ev_atom": 1.1379,
  "vol_a3_per_atom": 24.0,
  "mass_density_g_cm3": 9.971,
  "final_energy_ev_per_atom": -1.93,
  "total_magnetization_mub_per_atom": 0.406,
  "ef_ev_per_atom": 1.737
}

=====

# 8
{
  "formula": "NaHg2OsPt",
  "functional": "PBE-GGA",
  "state": "relaxed",
  "lattice_angstrom": [[4.8052, 0.0000, 0.0000], [0.0000, 4.8052, 0.0000], [0.0000, 0.0000, 4.8706]],
  "species": ["Na", "Hg", "Hg", "Os", "Pt"],
  "fractional_positions": [[0.0000, 0.0000, 0.0000], [0.0000, 0.5000, 0.0000], [0.5000, 0.0000, 0.0000], [0.0000, 0.0000, 0.5000], [0.5000, 0.5000, 0.5000]],
  "dos_at_fermi_per_ev_atom": 0.9493,
  "vol_a3_per_atom": 22.5,
  "mass_density_g_cm3": 11.952,
  "final_energy_ev_per_atom": -1.97,
  "total_magnetization_mub_per_atom": 0.267,
  "ef_ev_per_atom": 1.871
}